Record 1
A relaxed AlAg3Te3 crystal, computed with PBE.

Cell lengths 7.7271, 8.3202, 13.7967 Å; angles 90.00, 95.37, 90.00 degrees
Positions (direct):
Al 0.1622 0.0804 0.4262
Al 0.1622 0.4196 0.9262
Al 0.8378 0.5804 0.0738
Al 0.8378 0.9196 0.5738
Ag 0.3407 0.6093 0.5889
Ag 0.3407 0.8907 0.0889
Ag 0.4028 0.0373 0.7528
Ag 0.4028 0.4627 0.2528
Ag 0.4887 0.2303 0.0851
Ag 0.4887 0.2697 0.5851
Ag 0.5113 0.7303 0.4149
Ag 0.5113 0.7697 0.9149
Ag 0.5972 0.5373 0.7472
Ag 0.5972 0.9627 0.2472
Ag 0.6593 0.1093 0.9111
Ag 0.6593 0.3907 0.4111
Te 0.1883 0.5798 0.0941
Te 0.1883 0.9202 0.5941
Te 0.2622 0.6178 0.7940
Te 0.2622 0.8822 0.2940
Te 0.2636 0.1163 0.9315
Te 0.2636 0.3837 0.4315
Te 0.7364 0.6163 0.5685
Te 0.7364 0.8837 0.0685
Te 0.7378 0.1178 0.7060
Te 0.7378 0.3822 0.2060
Te 0.8117 0.0798 0.4059
Te 0.8117 0.4202 0.9059

Volume in Å³ per cell: 883.1
Crystal system: monoclinic
Total energy in eV/atom: -3.268



Record 2
A relaxed AlAgTe3 crystal, computed with PBE.

Cell lengths 5.3453, 5.3453, 5.3453 Å; angles 90.00, 90.00, 90.00 degrees
Positions (direct):
Al 0.0000 0.0000 0.0000
Ag 0.5000 0.5000 0.5000
Te 0.0000 0.0000 0.5000
Te 0.0000 0.5000 0.0000
Te 0.5000 0.0000 0.0000

Offset from the most stable computed form in meV per atom: 540
Volume in Å³ per cell: 152.7
Crystal system: cubic
Total energy in eV/atom: -2.820
DOS at the Fermi energy in states/eV per atom: 0.9316



Record 3
A relaxed Al2Ag14Te9 crystal, computed with PBE.

Cell lengths 7.8897, 8.4207, 10.9408 Å; angles 89.20, 87.92, 64.10 degrees
Positions (direct):
Al 0.1229 0.1817 0.2966
Al 0.8771 0.8183 0.7034
Ag 0.1584 0.4645 0.4070
Ag 0.1677 0.7822 0.0930
Ag 0.1767 0.4534 0.9354
Ag 0.2199 0.7252 0.5844
Ag 0.4393 0.8803 0.4223
Ag 0.4420 0.5439 0.2794
Ag 0.4675 0.8540 0.9549
Ag 0.5325 0.1460 0.0451
Ag 0.5580 0.4561 0.7206
Ag 0.5607 0.1197 0.5777
Ag 0.7801 0.2748 0.4156
Ag 0.8233 0.5466 0.0646
Ag 0.8323 0.2178 0.9070
Ag 0.8416 0.5355 0.5930
Te 0.1036 0.8598 0.3440
Te 0.1482 0.1602 0.0470
Te 0.2171 0.4123 0.6762
Te 0.4915 0.1722 0.3136
Te 0.5000 0.5000 0.0000
Te 0.5085 0.8278 0.6864
Te 0.7829 0.5877 0.3238
Te 0.8518 0.8398 0.9530
Te 0.8964 0.1402 0.6560

Volume in Å³ per cell: 653.4
Crystal system: triclinic
Total energy in eV/atom: -3.060
DOS at the Fermi energy in states/eV per atom: 0.2585



Record 4
A relaxed AlAgTe2 crystal, computed with PBE.

Cell lengths 3.2172, 3.2172, 9.8940 Å; angles 90.00, 90.00, 106.00 degrees
Positions (direct):
Al 0.0000 0.0000 0.0000
Ag 0.5000 0.5000 0.8138
Te 0.0000 0.0000 0.5669
Te 0.5000 0.5000 0.2182

Volume in Å³ per cell: 98.4
Crystal system: orthorhombic
Total energy in eV/atom: -3.072
DOS at the Fermi energy in states/eV per atom: 0.4649



Record 5
A relaxed AlAg8Te6 crystal, computed with PBE.

Cell lengths 8.4963, 8.3802, 11.4983 Å; angles 90.00, 90.00, 90.00 degrees
Positions (direct):
Al 0.0000 0.2311 0.0000
Al 0.5000 0.7689 0.5000
Ag 0.0000 0.7343 0.9790
Ag 0.0000 0.8916 0.5132
Ag 0.1790 0.0048 0.7205
Ag 0.2182 0.3543 0.6341
Ag 0.2218 0.4063 0.3525
Ag 0.2782 0.5937 0.8525
Ag 0.2818 0.6457 0.1341
Ag 0.3210 0.9952 0.2205
Ag 0.5000 0.1084 0.0132
Ag 0.5000 0.2657 0.4790
Ag 0.6790 0.9952 0.2205
Ag 0.7182 0.6457 0.1341
Ag 0.7218 0.5937 0.8525
Ag 0.7782 0.4063 0.3525
Ag 0.7818 0.3543 0.6341
Ag 0.8210 0.0048 0.7205
Te 0.0000 0.2259 0.4858
Te 0.0000 0.4698 0.1486
Te 0.0000 0.7164 0.7360
Te 0.0000 0.9861 0.1353
Te 0.2442 0.7472 0.3792
Te 0.2558 0.2528 0.8792
Te 0.5000 0.0139 0.6353
Te 0.5000 0.2836 0.2360
Te 0.5000 0.5302 0.6486
Te 0.5000 0.7741 0.9858
Te 0.7442 0.2528 0.8792
Te 0.7558 0.7472 0.3792

Volume in Å³ per cell: 818.7
Crystal system: orthorhombic
Total energy in eV/atom: -3.127
DOS at the Fermi energy in states/eV per atom: 0.5553



Record 6
A relaxed AlAgTe2 crystal, computed with PBE.

Cell lengths 5.0473, 5.0473, 5.0473 Å; angles 114.48, 114.48, 99.86 degrees
Positions (direct):
Al 0.0000 0.0000 0.0000
Ag 0.5000 0.5000 0.0000
Te 0.2500 0.7500 0.5000
Te 0.7500 0.2500 0.5000

Volume in Å³ per cell: 96.9
Crystal system: tetragonal
Total energy in eV/atom: -3.027
DOS at the Fermi energy in states/eV per atom: 0.4988



Record 7
A relaxed AlAgTe3 crystal, computed with PBE.

Cell lengths 8.5156, 8.2098, 10.4119 Å; angles 90.00, 91.59, 90.00 degrees
Positions (direct):
Al 0.1266 0.1432 0.0589
Al 0.1266 0.3568 0.5589
Al 0.8734 0.6432 0.4411
Al 0.8734 0.8568 0.9411
Ag 0.3683 0.7383 0.7828
Ag 0.3683 0.7617 0.2828
Ag 0.6317 0.2383 0.7172
Ag 0.6317 0.2617 0.2172
Te 0.1418 0.5396 0.3505
Te 0.1418 0.9604 0.8505
Te 0.1619 0.0489 0.4738
Te 0.1619 0.4511 0.9738
Te 0.3498 0.0917 0.2439
Te 0.3498 0.4083 0.7439
Te 0.6502 0.5917 0.2561
Te 0.6502 0.9083 0.7561
Te 0.8381 0.5489 0.0262
Te 0.8381 0.9511 0.5262
Te 0.8582 0.0396 0.1495
Te 0.8582 0.4604 0.6495

Offset from the most stable computed form in meV per atom: 0
Volume in Å³ per cell: 727.6
Crystal system: monoclinic
Total energy in eV/atom: -3.360



Record 8
A relaxed Al3AgTe4 crystal, computed with PBE.

Cell lengths 7.2904, 7.2904, 7.2904 Å; angles 124.02, 124.02, 83.17 degrees
Positions (direct):
Al 0.0000 0.0000 0.0000
Al 0.2500 0.7500 0.5000
Al 0.7500 0.2500 0.5000
Ag 0.5000 0.5000 0.0000
Te 0.1084 0.1084 0.4737
Te 0.3653 0.8916 0.0000
Te 0.6347 0.6347 0.5263
Te 0.8916 0.3653 0.0000

Volume in Å³ per cell: 255.3
Crystal system: tetragonal
Total energy in eV/atom: -3.481
DOS at the Fermi energy in states/eV per atom: 0.2202